(one)
# Tb2HoMg2

A relaxed structure of Tb2HoMg2 (PBE, the Alexandria database).

a b c (Å): 4.953 23.155 4.936
angles (deg): 90.00 90.00 90.00
Space group Cmcm (No. 63)
Symmetry-distinct sites (fractional):
Tb (0.000, 0.052, 0.250) x4
Tb (0.000, 0.444, 0.250) x4
Ho (0.000, 0.162, 0.750) x4
Mg (0.000, 0.250, 0.250) x4
Mg (0.000, 0.336, 0.750) x4

**Fermi-level density of states**: 5.46 states/eV/f.u.

=====

(two)
# Tb2HoMg2

A relaxed structure of Tb2HoMg2 (PBE, the Alexandria database).

a b c (Å): 3.738 5.423 14.053
angles (deg): 90.00 97.64 90.00
Space group P2_1/m (No. 11)
Symmetry-distinct sites (fractional):
Tb (0.044, 0.250, 0.088) x2
Tb (0.237, 0.250, 0.474) x2
Ho (0.151, 0.750, 0.303) x2
Mg (0.361, 0.750, 0.720) x2
Mg (0.446, 0.250, 0.892) x2

**Fermi-level density of states**: 5.49 states/eV/f.u.

=====

Quick look at relative energies in meV per atom: (one) 52; (two) 0.

=====

(one)
# Tb4HoMg

A relaxed structure of Tb4HoMg (PBE, the Alexandria database).

a b c (Å): 3.562 3.562 14.364
angles (deg): 90.00 90.00 90.00
Space group P4/mmm (No. 123)
Symmetry-distinct sites (fractional):
Tb (0.000, 0.000, 0.154) x2
Tb (0.500, 0.500, 0.326) x2
Ho (0.000, 0.000, 0.500) x1
Mg (0.500, 0.500, 0.000) x1

**Fermi-level density of states**: 7.86 states/eV/f.u.

=====

(two)
# Tb4HoMg

A relaxed structure of Tb4HoMg (PBE, the Alexandria database).

a b c (Å): 10.536 6.109 11.836
angles (deg): 90.00 107.22 90.00
Space group C2/c (No. 15)
Symmetry-distinct sites (fractional):
Tb (0.082, 0.246, 0.000) x8
Tb (0.167, 0.419, 0.750) x8
Ho (0.250, 0.250, 0.500) x4
Mg (0.000, 0.083, 0.250) x4

**Fermi-level density of states**: 8.48 states/eV/f.u.

=====

Quick look at relative energies in meV per atom: (one) 0; (two) 35.

=====

(one)
# Tb2Ho5Mg

A relaxed structure of Tb2Ho5Mg (PBE, the Alexandria database).

a b c (Å): 3.545 8.591 16.362
angles (deg): 81.11 83.79 89.95
Space group P-1 (No. 2)
Symmetry-distinct sites (fractional):
Tb (0.020, 0.308, 0.458) x2
Tb (0.230, 0.321, 0.041) x2
Ho (0.172, 0.618, 0.154) x2
Ho (0.294, 0.032, 0.911) x2
Ho (0.372, 0.718, 0.756) x2
Ho (0.424, 0.370, 0.654) x2
Ho (0.453, 0.014, 0.593) x2
Mg (0.124, 0.941, 0.252) x2

**Fermi-level density of states**: 11.25 states/eV/f.u.

=====

(two)
# Tb2Ho5Mg

A relaxed structure of Tb2Ho5Mg (PBE, the Alexandria database).

a b c (Å): 6.979 6.979 9.923
angles (deg): 90.00 90.00 90.00
Space group I4/mmm (No. 139)
Symmetry-distinct sites (fractional):
Tb (0.000, 0.500, 0.000) x4
Ho (0.000, 0.000, 0.000) x2
Ho (0.250, 0.250, 0.250) x8
Mg (0.000, 0.000, 0.500) x2

**Fermi-level density of states**: 7.88 states/eV/f.u.

=====

Quick look at relative energies in meV per atom: (one) 34; (two) 0.

=====

(one)
# Tb2Ho4Mg

A relaxed structure of Tb2Ho4Mg (PBE, the Alexandria database).

a b c (Å): 13.315 20.001 6.649
angles (deg): 90.00 90.00 90.00
Space group Ccce (No. 68, origin choice 2)
Symmetry-distinct sites (fractional):
Tb (0.000, 0.001, 0.250) x8
Tb (0.250, 0.250, 0.250) x8
Ho (0.066, 0.165, 0.000) x16
Ho (0.172, 0.120, 0.501) x16
Mg (0.250, 0.000, 0.251) x8

**Fermi-level density of states**: 11.01 states/eV/f.u.

=====

(two)
# Tb2Ho4Mg

A relaxed structure of Tb2Ho4Mg (PBE, the Alexandria database).

a b c (Å): 5.989 6.496 11.392
angles (deg): 90.00 105.16 90.00
Space group P2_1/m (No. 11)
Symmetry-distinct sites (fractional):
Tb (0.106, 0.250, 0.004) x2
Tb (0.220, 0.250, 0.577) x2
Ho (0.144, 0.501, 0.287) x4
Ho (0.353, 0.750, 0.559) x2
Ho (0.472, 0.750, 0.125) x2
Mg (0.344, 0.750, 0.834) x2

**Fermi-level density of states**: 9.56 states/eV/f.u.

=====

Quick look at relative energies in meV per atom: (one) 105; (two) 0.

=====

(one)
# Tb2HoMg6

A relaxed structure of Tb2HoMg6 (PBE, the Alexandria database).

a b c (Å): 9.0699 9.0699 3.2845
angles (deg): 90.00 90.00 120.00
Space group P6/mmm (No. 191)
Symmetry-distinct sites (fractional):
Tb (0.3333, 0.6667, 0.0000) x2
Ho (0.0000, 0.0000, 0.0000) x1
Mg (0.0000, 0.3322, 0.5000) x6

**Fermi-level density of states**: 4.29 states/eV/f.u.

=====

(two)
# Tb2HoMg6

A relaxed structure of Tb2HoMg6 (PBE, the Alexandria database).

a b c (Å): 5.379 6.385 14.984
angles (deg): 90.00 90.00 90.00
Space group Immm (No. 71)
Symmetry-distinct sites (fractional):
Tb (0.000, 0.000, 0.106) x4
Ho (0.000, 0.500, 0.000) x2
Mg (0.000, 0.248, 0.302) x8
Mg (0.000, 0.273, 0.500) x4

**Fermi-level density of states**: 10.12 states/eV/f.u.

=====

Quick look at relative energies in meV per atom: (one) 0; (two) 236.

=====

(one)
# TbHo2Mg2

A relaxed structure of TbHo2Mg2 (PBE, the Alexandria database).

a b c (Å): 3.710 5.431 14.039
angles (deg): 90.00 97.59 90.00
Space group P2_1/m (No. 11)
Symmetry-distinct sites (fractional):
Tb (0.152, 0.250, 0.304) x2
Ho (0.044, 0.750, 0.088) x2
Ho (0.237, 0.750, 0.475) x2
Mg (0.361, 0.250, 0.720) x2
Mg (0.446, 0.750, 0.893) x2

**Fermi-level density of states**: 5.62 states/eV/f.u.

=====

(two)
# TbHo2Mg2

A relaxed structure of TbHo2Mg2 (PBE, the Alexandria database).

a b c (Å): 4.544 4.544 29.771
angles (deg): 90.00 90.00 90.00
Space group I4/mmm (No. 139)
Symmetry-distinct sites (fractional):
Tb (0.000, 0.000, 0.114) x4
Ho (0.000, 0.000, 0.327) x4
Ho (0.000, 0.500, 0.000) x4
Mg (0.000, 0.000, 0.426) x4
Mg (0.000, 0.500, 0.250) x4

**Fermi-level density of states**: 7.45 states/eV/f.u.

=====

Quick look at relative energies in meV per atom: (one) 0; (two) 368.

=====

(one)
# TbHoTmMg

A relaxed structure of TbHoTmMg (PBE, the Alexandria database).

a b c (Å): 7.733 7.733 7.733
angles (deg): 90.00 90.00 90.00
Space group F-43m (No. 216)
Symmetry-distinct sites (fractional):
Tb (0.000, 0.000, 0.000) x4
Ho (0.000, 0.000, 0.500) x4
Tm (0.250, 0.250, 0.250) x4
Mg (0.250, 0.250, 0.750) x4

**Fermi-level density of states**: 4.41 states/eV/f.u.

=====

(two)
# TbHoTmMg

A relaxed structure of TbHoTmMg (PBE, the Alexandria database).

a b c (Å): 3.551 3.551 9.261
angles (deg): 90.00 90.00 90.00
Space group P4mm (No. 99)
Symmetry-distinct sites (fractional):
Tb (0.000, 0.000, 0.000) x1
Ho (0.000, 0.000, 0.523) x1
Tm (0.500, 0.500, 0.262) x1
Mg (0.500, 0.500, 0.759) x1

**Fermi-level density of states**: 5.29 states/eV/f.u.

=====

Quick look at relative energies in meV per atom: (one) 60; (two) 0.

=====

(one)
# Ho8MgTc2

A relaxed structure of Ho8MgTc2 (PBE, the Alexandria database).

a b c (Å): 8.770 13.050 5.539
angles (deg): 90.00 103.70 90.00
Space group C2/m (No. 12)
Symmetry-distinct sites (fractional):
Ho (0.000, 0.249, 0.000) x4
Ho (0.109, 0.000, 0.796) x4
Ho (0.197, 0.367, 0.576) x8
Mg (0.000, 0.500, 0.000) x2
Tc (0.000, 0.184, 0.500) x4

**Fermi-level density of states**: 10.03 states/eV/f.u.

=====

(two)
# Ho8MgTc2

A relaxed structure of Ho8MgTc2 (PBE, the Alexandria database).

a b c (Å): 8.721 15.680 5.352
angles (deg): 90.00 127.81 90.00
Space group Cm (No. 8)
Symmetry-distinct sites (fractional):
Ho (0.000, 0.000, 0.000) x2
Ho (0.049, 0.389, 0.550) x4
Ho (0.265, 0.000, 0.764) x2
Ho (0.384, 0.209, 0.885) x4
Ho (0.413, 0.332, 0.414) x4
Mg (0.197, 0.500, 0.197) x2
Tc (0.184, 0.164, 0.186) x4

**Fermi-level density of states**: 7.98 states/eV/f.u.

=====

Quick look at relative energies in meV per atom: (one) 0; (two) 9.

=====

(one)
# Ho3MgTc

A relaxed structure of Ho3MgTc (PBE, the Alexandria database).

a b c (Å): 3.403 7.924 9.653
angles (deg): 90.00 90.02 90.00
Space group Pc (No. 7)
Symmetry-distinct sites (fractional):
Ho (0.000, 0.052, 0.000) x2
Ho (0.000, 0.287, 0.707) x2
Ho (0.001, 0.287, 0.293) x2
Mg (0.501, 0.421, 0.999) x2
Tc (0.500, 0.000, 0.250) x2

**Fermi-level density of states**: 5.27 states/eV/f.u.

=====

(two)
# Ho3MgTc

A relaxed structure of Ho3MgTc (PBE, the Alexandria database).

a b c (Å): 4.597 11.453 10.108
angles (deg): 90.00 90.00 90.00
Space group Cmcm (No. 63)
Symmetry-distinct sites (fractional):
Ho (0.000, 0.095, 0.250) x4
Ho (0.000, 0.359, 0.033) x8
Mg (0.000, 0.178, 0.750) x4
Tc (0.000, 0.000, 0.000) x4

**Fermi-level density of states**: 4.40 states/eV/f.u.

=====

Quick look at relative energies in meV per atom: (one) 0; (two) 26.

=====

(one)
# HoMgTe2

A relaxed structure of HoMgTe2 (PBE, the Alexandria database).

a b c (Å): 4.1844 4.1844 22.2181
angles (deg): 90.00 90.00 120.00
Space group R3m (No. 160, hexagonal axes)
Symmetry-distinct sites (fractional):
Ho (0.0000, 0.0000, 0.0000) x3
Mg (0.0000, 0.0000, 0.1653) x3
Te (0.0000, 0.0000, 0.5761) x3
Te (0.0000, 0.0000, 0.7535) x3

**Fermi-level density of states**: 1.76 states/eV/f.u.

=====

(two)
# HoMgTe2

A relaxed structure of HoMgTe2 (PBE, the Alexandria database).

a b c (Å): 4.3438 4.3438 27.3935
angles (deg): 90.00 90.00 120.00
Space group R-3m (No. 166, hexagonal axes)
Symmetry-distinct sites (fractional):
Ho (0.0000, 0.0000, 0.0000) x3
Mg (0.0000, 0.0000, 0.5000) x3
Te (0.0000, 0.0000, 0.3973) x6

**Fermi-level density of states**: 2.54 states/eV/f.u.

=====

Quick look at relative energies in meV per atom: (one) 0; (two) 222.

=====

(one)
# Ho2MgTe

A relaxed structure of Ho2MgTe (PBE, the Alexandria database).

a b c (Å): 3.895 3.895 6.955
angles (deg): 90.00 90.00 90.00
Space group P4/mmm (No. 123)
Symmetry-distinct sites (fractional):
Ho (0.000, 0.000, 0.249) x2
Mg (0.500, 0.500, 0.500) x1
Te (0.500, 0.500, 0.000) x1

**Fermi-level density of states**: 3.53 states/eV/f.u.

=====

(two)
# Ho2MgTe

A relaxed structure of Ho2MgTe (PBE, the Alexandria database).

a b c (Å): 3.9438 3.9438 26.9201
angles (deg): 90.00 90.00 120.00
Space group R3m (No. 160, hexagonal axes)
Symmetry-distinct sites (fractional):
Ho (0.0000, 0.0000, 0.0000) x3
Ho (0.0000, 0.0000, 0.1832) x3
Mg (0.0000, 0.0000, 0.4248) x3
Te (0.0000, 0.0000, 0.5922) x3

**Fermi-level density of states**: 4.33 states/eV/f.u.

=====

(three)
# Ho2MgTe

A relaxed structure of Ho2MgTe (PBE, the Alexandria database).

a b c (Å): 3.8527 3.8527 31.6981
angles (deg): 90.00 90.00 120.00
Space group R-3m (No. 166, hexagonal axes)
Symmetry-distinct sites (fractional):
Ho (0.0000, 0.0000, 0.1028) x6
Mg (0.0000, 0.0000, 0.0000) x3
Te (0.0000, 0.0000, 0.5000) x3

**Fermi-level density of states**: 3.93 states/eV/f.u.

=====

Quick look at relative energies in meV per atom: (one) 0; (two) 95; (three) 391.